Material: Na2InRh
Method: DFT, PBE-GGA
State: optimized geometry

* space-group type: I-42d
* energy of formation: 0.11 eV per atom
* energy: -3.069 eV per atom
* calculated density: 5.19 g/cm³

Cell: 3.927 3.927 11.292 Å, 79.99 79.99 90.00°
Positions (direct):
Na: 0.611 0.125 0.250
Na: 0.375 0.389 0.750
Na: 0.139 0.625 0.250
Na: 0.875 0.861 0.750
In: 0.750 0.250 0.500
In: 0.000 0.000 0.000
Rh: 0.250 0.750 0.500
Rh: 0.500 0.500 0.000


Material: HgGe3As
Method: DFT, PBE-GGA
State: optimized geometry

* space-group type: Pm-3m
* energy of formation: 1.00 eV per atom
* E above lowest polymorph: 7.50 kcal/mol of atoms
* energy: -2.763 eV per atom
* calculated density: 5.96 g/cm³

Cell: 5.162 5.162 5.162 Å, 90.00 90.00 90.00°
Positions (direct):
Ge: 0.500 0.000 0.000
Ge: 0.000 0.500 0.000
Ge: 0.000 0.000 0.500
Hg: 0.000 0.000 0.000
As: 0.500 0.500 0.500


Material: CdHgSe2
Method: DFT, PBE-GGA
State: optimized geometry

* space-group type: P4/mmm
* formation energy (no corrections): 0.1570 eV per atom
* E above lowest polymorph: 13.25 kcal/mol of atoms
* energy: -1.889 eV per atom
* calculated density: 8.56 g/cm³

Cell: 3.773 4.921 4.921 Å, 90.00 90.00 90.00°
Positions (direct):
Se: 0.000 0.500 0.500
Se: 0.000 0.000 0.000
Cd: 0.500 0.500 0.000
Hg: 0.500 0.000 0.500


Material: Mg2ScHg
Method: DFT, PBE-GGA
State: optimized geometry

* space-group type: C2/m
* energy of formation: -0.10 eV per atom
* energy: -2.559 eV per atom
* calculated density: 5.47 g/cm³

Cell: 6.077 6.077 3.115 Å, 77.47 77.47 120.34°
Last column: magnetic moment on the atom in μB.
Positions (direct):
Sc: 0.500 0.000 0.500  0.13
Mg: 0.500 0.500 0.000  0.00
Mg: 0.000 0.000 0.000  0.00
Hg: 0.000 0.500 0.500  0.00


Material: SiN3Cl
Method: DFT, PBE-GGA
State: optimized geometry

* space-group type: Pm-3m
* formation energy (no corrections): 2.7359 eV per atom
* energy: -3.713 eV per atom
* calculated density: 3.46 g/cm³

Cell: 3.699 3.699 3.699 Å, 90.00 90.00 90.00°
Positions (direct):
N: 0.000 0.500 0.000
N: 0.000 0.000 0.500
N: 0.500 0.000 0.000
Si: 0.500 0.500 0.500
Cl: 0.000 0.000 0.000


Material: ScRh3
Method: DFT, PBE-GGA
State: optimized geometry

* space-group type: I4/mmm
* energy of formation: -0.59 eV per atom
* energy: -7.686 eV per atom
* calculated density: 9.64 g/cm³

Cell: 3.924 3.924 8.382 Å, 76.46 76.46 90.00°
Positions (direct):
Rh: 0.250 0.750 0.500
Rh: 0.750 0.250 0.500
Rh: 0.127 0.127 0.746
Rh: 0.873 0.873 0.254
Rh: 0.500 0.000 0.000
Rh: 0.000 0.500 0.000
Sc: 0.380 0.380 0.241
Sc: 0.620 0.620 0.759